SeSNCl2: optimized geometry, PBE.

Geometry as CIF:
```
data_SeSNCl2
_symmetry_space_group_name_H-M 'P 4/m m m'
_symmetry_Int_Tables_number 123
_symmetry_space_group_name_Hall '-P 4 2'
_cell_length_a 4.190
_cell_length_b 4.190
_cell_length_c 4.815
_cell_angle_alpha 90.00
_cell_angle_beta 90.00
_cell_angle_gamma 90.00
loop_
_atom_site_label
_atom_site_type_symbol
_atom_site_fract_x
_atom_site_fract_y
_atom_site_fract_z
_atom_site_occupancy
Se1 Se 0.000 0.000 0.000 1
S1 S 0.500 0.500 0.000 1
N1 N 0.500 0.500 0.500 1
Cl1 Cl 0.000 0.500 0.500 1
```

## Properties
Fermi-level density of states, states/eV/cell: 2.7
Mass density, g/cm³: 3.848
Uncorrected formation energy, meV/atom: 1246.8
Energy relative to the lowest polymorph listed for this composition, eV/atom: 0.008